Entry 1:
An optimized crystal structure of HgPbO2. Source: Alexandria, functional GGA-PBE.

```
HgPbO2
1.0
0.0000 3.1396 3.1396
3.1396 0.0000 3.1396
3.1396 3.1396 0.0000
Hg Pb O
1 1 2
direct
0.0000 0.0000 0.0000 Hg
0.5000 0.5000 0.5000 Pb
0.2500 0.2500 0.2500 O
0.7500 0.7500 0.7500 O
```

Properties
For the energy above the most stable polymorph in this dataset, the calculation gives 436 meV per atom. For the formation energy without anion corrections, the calculation gives -0.20 eV/atom. Its space group is No. 225. The value obtained for the total moment is 0.00 μB/f.u.

Entry 2:
An optimized crystal structure of CsKHg2Au. Source: Alexandria, functional GGA-PBE.

```
CsKHg2Au
1.0
-2.4916 2.4996 7.9067
2.4916 -2.4996 7.9067
2.4916 2.4996 -7.9067
Cs K Hg Au
1 1 2 1
direct
0.0000 0.0000 0.0000 Cs
0.2658 0.7658 0.5000 K
0.6020 0.6020 0.0000 Hg
0.8058 0.3058 0.5000 Hg
0.4146 0.4146 0.0000 Au
```

Properties
For the energy above the most stable polymorph in this dataset, the calculation gives 0 meV per atom. The calculation puts the energy of formation from the pure elements at -0.27 eV per atom. Its space group is No. 44. The value obtained for the total moment is 0.00 μB/f.u.

Entry 3:
An optimized crystal structure of LiTb3Pr2Se6. Source: Alexandria, functional GGA-PBE.

```
LiTb3Pr2Se6
1.0
3.5811 -6.2219 0.0000
3.5811 6.2219 0.0000
-2.4119 0.0000 6.7582
Li Tb Pr Se
1 3 2 6
direct
0.0000 0.0000 0.0000 Li
0.1687 0.8313 0.5000 Tb
0.5000 0.5000 0.5000 Tb
0.8313 0.1687 0.5000 Tb
0.3344 0.6656 0.0000 Pr
0.6656 0.3344 0.0000 Pr
0.0846 0.4040 0.2553 Se
0.2327 0.2327 0.7459 Se
0.4040 0.0846 0.2553 Se
0.5960 0.9154 0.7447 Se
0.7673 0.7673 0.2541 Se
0.9154 0.5960 0.7447 Se
```

Properties
For the formation energy without anion corrections, the calculation gives -1.78 eV/atom. Its space group is No. 12. The value obtained for the total moment is 0.00 μB/f.u.

Entry 4:
An optimized crystal structure of Sc4Pd5Pt. Source: Alexandria, functional GGA-PBE.

```
Sc4Pd5Pt
1.0
7.3426 -2.2422 0.0000
7.3426 2.2422 0.0000
-1.9887 0.0000 5.2689
Sc Pd Pt
4 5 1
direct
0.0859 0.0859 0.3350 Sc
0.3060 0.3060 0.2177 Sc
0.6940 0.6940 0.7823 Sc
0.9141 0.9141 0.6650 Sc
0.1121 0.1121 0.8734 Pd
0.2903 0.2903 0.6985 Pd
0.5000 0.5000 0.0000 Pd
0.7097 0.7097 0.3015 Pd
0.8879 0.8879 0.1266 Pd
0.5000 0.5000 0.5000 Pt
```

Properties
The calculation puts the energy of formation from the pure elements at -0.93 eV per atom. Its space group is No. 12. The value obtained for the total moment is 0.00 μB/f.u.

Entry 5:
An optimized crystal structure of Ca3AcPd8. Source: Alexandria, functional GGA-PBE.

```
Ca3AcPd8
1.0
5.5338 0.0000 0.0000
-2.7669 4.7924 0.0000
0.0000 0.0000 9.0536
Ca Ac Pd
3 1 8
direct
0.0000 0.0000 0.0000 Ca
0.0000 0.0000 0.3614 Ca
0.3333 0.6667 0.8902 Ca
0.3333 0.6667 0.5114 Ac
0.0033 0.5017 0.1902 Pd
0.3294 0.1647 0.6934 Pd
0.4983 0.5017 0.1902 Pd
0.4983 0.9967 0.1902 Pd
0.6667 0.3333 0.4400 Pd
0.6667 0.3333 0.9421 Pd
0.8353 0.1647 0.6934 Pd
0.8353 0.6706 0.6934 Pd
```

Properties
For the energy above the most stable polymorph in this dataset, the calculation gives 19 meV per atom. The calculation puts the energy of formation from the pure elements at -0.70 eV per atom. Its space group is No. 156. The value obtained for the total moment is 0.00 μB/f.u.

Entry 6:
An optimized crystal structure of LaPmDyY. Source: Alexandria, functional GGA-PBE.

```
LaPmDyY
1.0
0.0000 4.0873 4.0873
4.0873 0.0000 4.0873
4.0873 4.0873 0.0000
La Pm Dy Y
1 1 1 1
direct
0.0000 0.0000 0.0000 La
0.5000 0.5000 0.5000 Pm
0.2500 0.2500 0.2500 Dy
0.7500 0.7500 0.7500 Y
```

Properties
For the energy above the most stable polymorph in this dataset, the calculation gives 71 meV per atom. The calculation puts the energy of formation from the pure elements at 0.10 eV per atom. Its space group is No. 216. The value obtained for the total moment is 0.00 μB/f.u.

Entry 7:
An optimized crystal structure of CaRhCO5. Source: Alexandria, functional GGA-PBE.

```
CaRhCO5
1.0
3.1726 -4.2507 0.0000
3.1726 4.2507 0.0000
-2.7922 0.0000 6.2578
Ca Rh C O
2 2 2 10
direct
0.1464 0.8536 0.7500 Ca
0.8536 0.1464 0.2500 Ca
0.5000 0.5000 0.0000 Rh
0.5000 0.5000 0.5000 Rh
0.1918 0.8082 0.2500 C
0.8082 0.1918 0.7500 C
0.0691 0.2479 0.9128 O
0.1673 0.6074 0.3504 O
0.2479 0.0691 0.4128 O
0.3926 0.8327 0.1495 O
0.4090 0.5910 0.7500 O
0.5910 0.4090 0.2500 O
0.6074 0.1673 0.8504 O
0.7521 0.9309 0.5872 O
0.8327 0.3926 0.6496 O
0.9309 0.7521 0.0872 O
```

Properties
For the formation energy without anion corrections, the calculation gives -1.43 eV/atom. Its space group is No. 15. The value obtained for the total moment is 0.00 μB/f.u.

Entry 8:
An optimized crystal structure of Er2BRh4. Source: Alexandria, functional GGA-PBE.

```
Er2BRh4
1.0
-2.0882 2.0882 6.8851
2.0882 -2.0882 6.8851
2.0882 2.0882 -6.8851
Er B Rh
2 1 4
direct
0.1492 0.1492 0.0000 Er
0.8508 0.8508 0.0000 Er
0.5000 0.5000 0.0000 B
0.0000 0.5000 0.5000 Rh
0.3504 0.3504 0.0000 Rh
0.5000 0.0000 0.5000 Rh
0.6496 0.6496 0.0000 Rh
```

Properties
The calculation puts the energy of formation from the pure elements at -0.66 eV per atom. Its space group is No. 139. The value obtained for the total moment is 0.00 μB/f.u.

Entry 9:
An optimized crystal structure of Li3PrU2Se6. Source: Alexandria, functional GGA-PBE.

```
Li3PrU2Se6
1.0
3.5569 -6.1619 0.0000
3.5569 6.1619 0.0000
-2.3784 0.0000 6.5709
Li Pr U Se
3 1 2 6
direct
0.0000 0.0000 0.0000 Li
0.3345 0.6655 0.0000 Li
0.6655 0.3345 0.0000 Li
0.5000 0.5000 0.5000 Pr
0.1663 0.8337 0.5000 U
0.8337 0.1663 0.5000 U
0.0696 0.4135 0.2406 Se
0.2444 0.2444 0.7627 Se
0.4135 0.0696 0.2406 Se
0.5865 0.9304 0.7594 Se
0.7556 0.7556 0.2373 Se
0.9304 0.5865 0.7594 Se
```

Properties
For the formation energy without anion corrections, the calculation gives -1.33 eV/atom. Its space group is No. 12. The value obtained for the total moment is 5.99 μB/f.u.

Entry 10:
An optimized crystal structure of Cs2NaAg2. Source: Alexandria, functional GGA-PBE.

```
Cs2NaAg2
1.0
8.8976 0.0000 0.0000
0.0000 8.8976 0.0000
0.0000 0.0000 5.5775
Cs Na Ag
4 2 4
direct
0.1744 0.3256 0.0000 Cs
0.3256 0.8256 0.0000 Cs
0.6744 0.1744 0.0000 Cs
0.8256 0.6744 0.0000 Cs
0.0000 0.0000 0.5000 Na
0.5000 0.5000 0.5000 Na
0.1141 0.6141 0.5000 Ag
0.3859 0.1141 0.5000 Ag
0.6141 0.8859 0.5000 Ag
0.8859 0.3859 0.5000 Ag
```

Properties
For the energy above the most stable polymorph in this dataset, the calculation gives 0 meV per atom. The calculation puts the energy of formation from the pure elements at 0.08 eV per atom. Its space group is No. 127. The value obtained for the total moment is 0.00 μB/f.u.

Entry 11:
An optimized crystal structure of SrErMnSe4. Source: Alexandria, functional GGA-PBE.

```
SrErMnSe4
1.0
6.8656 0.0000 0.0000
0.0000 6.4460 0.0000
-2.5448 0.0000 8.1348
Sr Er Mn Se
2 2 2 8
direct
0.2487 0.2500 0.0585 Sr
0.7513 0.7500 0.9415 Sr
0.2464 0.2500 0.5599 Er
0.7536 0.7500 0.4401 Er
0.2407 0.7500 0.3215 Mn
0.7593 0.2500 0.6785 Mn
0.0162 0.5105 0.7269 Se
0.0162 0.9895 0.7269 Se
0.4317 0.7500 0.1278 Se
0.4403 0.7500 0.6021 Se
0.5597 0.2500 0.3979 Se
0.5683 0.2500 0.8722 Se
0.9838 0.0105 0.2731 Se
0.9838 0.4895 0.2731 Se
```

Properties
For the formation energy without anion corrections, the calculation gives -1.33 eV/atom. Its space group is No. 11. The value obtained for the total moment is 4.00 μB/f.u.

Entry 12:
An optimized crystal structure of Mg2In2Ag. Source: Alexandria, functional GGA-PBE.

```
Mg2In2Ag
1.0
-2.1111 2.1111 6.9067
2.1111 -2.1111 6.9067
2.1111 2.1111 -6.9067
Mg In Ag
2 2 1
direct
0.2500 0.7500 0.5000 Mg
0.7500 0.2500 0.5000 Mg
0.0998 0.0998 0.0000 In
0.9002 0.9002 0.0000 In
0.5000 0.5000 0.0000 Ag
```

Properties
For the energy above the most stable polymorph in this dataset, the calculation gives 259 meV per atom. The calculation puts the energy of formation from the pure elements at 0.18 eV per atom. Its space group is No. 139. The value obtained for the total moment is 0.00 μB/f.u.

- Which formula does entry 3 have?
  LiTb3Pr2Se6

- What is the formula in the third record?
  LiTb3Pr2Se6